No. 1
Below is Sb3PO7 after structural relaxation, with properties calculated at the PBEsol level.

a b c (Å): 13.011 13.492 12.276
angles (deg): 90.00 110.32 90.00
Space group Cm (No. 8)
Unique sites:
1 Sb 0.000 0.150 0.000
2 Sb 0.094 0.343 0.233
3 Sb 0.130 0.348 0.885
4 Sb 0.188 0.342 0.566
5 Sb 0.287 0.181 0.134
6 Sb 0.304 0.172 0.429
7 Sb 0.324 0.160 0.837
8 Sb 0.468 0.305 0.664
9 Sb 0.473 0.332 0.349
10 P 0.116 0.000 0.858
11 P 0.151 0.000 0.238
12 P 0.297 0.500 0.427
13 P 0.299 0.500 0.793
14 P 0.478 0.000 0.978
15 P 0.496 0.000 0.397
16 O 0.025 0.000 0.742
17 O 0.056 0.000 0.120
18 O 0.083 0.307 0.720
19 O 0.090 0.500 0.070
20 O 0.109 0.500 0.502
21 O 0.113 0.095 0.933
22 O 0.119 0.000 0.346
23 O 0.135 0.243 0.080
24 O 0.152 0.258 0.386
25 O 0.190 0.500 0.322
26 O 0.195 0.500 0.828
27 O 0.223 0.094 0.241
28 O 0.232 0.000 0.851
29 O 0.270 0.260 0.929
30 O 0.297 0.404 0.723
31 O 0.302 0.405 0.503
32 O 0.316 0.266 0.285
33 O 0.318 0.235 0.610
34 O 0.399 0.500 0.392
35 O 0.402 0.000 0.442
36 O 0.403 0.500 0.901
37 O 0.416 0.098 0.995
38 O 0.457 0.253 0.492
39 O 0.465 0.247 0.855
40 O 0.468 0.000 0.849
41 O 0.469 0.262 0.195
42 O 0.489 0.095 0.321

Values from the calculation:
**ΔE_f (raw)**: -1.562 eV/atom
**N(E_F)**: 0.000 states/eV/atom
**ρ**: 5.01 g cm⁻³
**E**: -880.6 eV/cell

=====

No. 2
Below is BaBe3I after structural relaxation, with properties calculated at the PBEsol level.

a b c (Å): 5.984 5.984 5.984
angles (deg): 90.00 90.00 90.00
Space group Pm-3m (No. 221)
Unique sites:
1 Ba 0.000 0.000 0.000
2 Be 0.000 0.000 0.500
3 I 0.500 0.500 0.500

Values from the calculation:
**ΔE_f (raw)**: 1.891 eV/atom
**N(E_F)**: 0.956 states/eV/atom
**ρ**: 2.26 g cm⁻³
**E**: -6.5 eV/cell

=====

No. 3
Below is LaTlTc after structural relaxation, with properties calculated at the PBEsol level.

a b c (Å): 6.821 6.821 6.821
angles (deg): 90.00 90.00 90.00
Space group F-43m (No. 216)
Unique sites:
1 La 0.000 0.000 0.000
2 Tl 0.250 0.250 0.250
3 Tc 0.000 0.000 0.500

Values from the calculation:
**Formation energy from the elements**: 0.7740 eV/atom
**N(E_F)**: 1.453 states/eV/atom
**ρ**: 9.23 g cm⁻³
**E**: -67.7 eV/cell

=====

No. 4
Below is BaNa2Ca after structural relaxation, with properties calculated at the PBEsol level.

a b c (Å): 8.807 8.807 8.807
angles (deg): 90.00 90.00 90.00
Space group Fm-3m (No. 225)
Unique sites:
1 Ba 0.000 0.000 0.000
2 Na 0.250 0.250 0.250
3 Ca 0.000 0.000 0.500

Values from the calculation:
**Formation energy from the elements**: 0.0385 eV/atom
**N(E_F)**: 0.816 states/eV/atom
**ρ**: 2.17 g cm⁻³
**E**: -27.7 eV/cell